# 1
KSi2Ag | PBE-GGA | relaxed

Summary:
The energy relative to the lowest polymorph listed for this composition comes out at 12.5 kJ per mole of atoms. For the uncorrected energy, the calculation gives -27.3 eV for the cell shown. The space group is I-42d, No. 122. The magnetic moment comes out at 0.0 μB/cell. For the formation energy without anion corrections, the calculation gives 1.145 eV per formula unit.

POSCAR file:
```
KSi2Ag
1.0
4.8621 0.0000 0.0000
0.0000 4.8621 0.0000
2.4310 2.4310 9.0517
Ag Si K
2 4 2
Direct
0.7500 0.2500 0.5000
0.0000 0.0000 0.0000
0.8762 0.6250 0.2500
0.8750 0.1238 0.7500
0.3750 0.1262 0.7500
0.8738 0.1250 0.2500
0.2500 0.7500 0.5000
0.5000 0.5000 0.0000
```

---

# 2
Hf4NbTc5 | PBE-GGA | relaxed

Summary:
For the uncorrected energy, the calculation gives -106.4 eV for the cell shown. The space group is P4/mmm, No. 123. The magnetic moment comes out at 0.0 μB/cell.

POSCAR file:
```
Hf4NbTc5
1.0
3.2447 0.0000 0.0000
0.0000 3.2447 0.0000
0.0000 0.0000 16.2729
Hf Tc Nb
4 5 1
Direct
0.0000 0.0000 0.3992
0.0000 0.0000 0.1987
0.0000 0.0000 0.8013
0.0000 0.0000 0.6008
0.5000 0.5000 0.5000
0.5000 0.5000 0.2983
0.5000 0.5000 0.7017
0.5000 0.5000 0.0956
0.5000 0.5000 0.9044
0.0000 0.0000 0.0000
```

---

# 3
LaCdGe3 | PBE-GGA | relaxed

Summary:
The energy relative to the lowest polymorph listed for this composition comes out at 0.0 kJ per mole of atoms. For the uncorrected energy, the calculation gives -18.5 eV for the cell shown. The space group is Pm-3m, No. 221. The magnetic moment comes out at 0.0 μB/cell.

POSCAR file:
```
LaCdGe3
1.0
-4.0374 -2.8294 1.4262
1.4535 -3.7065 -3.2387
2.8155 -2.1439 3.7171
Cd Ge La
1 3 1
Direct
0.0000 0.0000 0.0000
0.0000 0.0000 0.5000
0.5000 0.0000 0.0000
0.0000 0.5000 0.0000
0.5000 0.5000 0.5000
```

---

# 4
MgZnSe2 | PBE-GGA | relaxed

Summary:
For the uncorrected energy, the calculation gives -20.1 eV for the cell shown. The space group is P6_3/mmc, No. 194. The magnetic moment comes out at 0.0 μB/cell. For the formation energy without anion corrections, the calculation gives -0.199 eV per formula unit.

POSCAR file:
```
MgZnSe2
1.0
-1.5749 2.9280 3.4453
-1.0899 0.8852 -4.5773
-8.4396 -5.6242 0.9219
Mg Se Zn
2 4 2
Direct
0.0000 0.0000 0.2500
0.0000 0.0000 0.7500
0.6667 0.3333 0.1304
0.3333 0.6667 0.6304
0.3333 0.6667 0.8696
0.6667 0.3333 0.3696
0.6667 0.3333 0.7500
0.3333 0.6667 0.2500
```

---

# 5
Pm2TlF8 | PBE-GGA | relaxed

Summary:
For the uncorrected energy, the calculation gives -63.3 eV for the cell shown. The space group is Immm, No. 71. The magnetic moment comes out at 0.0 μB/cell. For the formation energy without anion corrections, the calculation gives -36.455 eV per formula unit.

POSCAR file:
```
Pm2TlF8
1.0
3.6794 0.0000 -1.1198
-0.9939 5.7501 -3.2657
0.0848 0.0358 6.8834
F Pm Tl
8 2 1
Direct
0.0000 0.6788 0.0000
0.1419 0.1419 0.2838
0.6691 0.8790 0.3383
0.3309 0.5408 0.6617
0.6691 0.4592 0.3383
0.0000 0.3212 0.0000
0.3309 0.1210 0.6617
0.8581 0.8581 0.7162
0.8216 0.3216 0.6432
0.1784 0.6784 0.3568
0.5000 0.0000 0.0000
```

---

# 6
MoPt4Rh4 | PBE-GGA | relaxed

Summary:
For the uncorrected energy, the calculation gives -65.9 eV for the cell shown. The space group is P1, No. 1. The magnetic moment comes out at 0.0 μB/cell.

POSCAR file:
```
MoPt4Rh4
1.0
-4.1990 -9.7308 -1.4388
1.5934 -3.1405 3.2636
-0.3265 8.2082 1.0080
Pt Rh Mo
4 4 1
Direct
0.8382 0.8391 0.1153
0.1647 0.4999 0.8871
0.5058 0.1715 0.3399
0.4999 0.1677 0.6691
0.1650 0.4989 0.5495
0.8284 0.8259 0.4430
0.5037 0.1681 0.0070
0.1554 0.4904 0.2064
0.8388 0.8384 0.7826
```